DFT (PBE) results for a relaxed structure of Co2CuMoC.

Calculated values
- raw total energy (Ha/atom) = -0.223
- total magnetization (μB/atom) = 0.680
- formation energy (meV per atom) = 1606

Cell lengths 4.385, 3.439, 4.385 Å; angles 90.00, 90.00, 90.00 degrees
Last column: magnetic moment on the atom in μB.
Positions (direct):
Co: 0.500 0.000 0.000  1.47
Co: 0.000 0.000 0.500  1.47
C: 0.000 0.500 0.000  0.03
Mo: 0.500 0.500 0.500  0.47
Cu: 0.000 0.000 0.000  -0.03